Record 1
TaMoIr2 | PBEsol | relaxed

Cell lengths 2.790, 4.769, 4.769 Å; angles 108.64, 90.00, 90.00 degrees
Sites, in units of the cell vectors:
Ta1 0.500 0.500 0.500
Ir1 0.000 0.000 0.500
Ir2 0.000 0.500 0.000
Mo1 0.500 0.000 0.000

Output
calculated total energy	-11.449	eV/atom
SG	Cmmm (65)
size of the total moment	0.00	μB per formula unit
energy of formation	-0.46	eV/atom
calculated volume	60	Å³/cell
E above lowest polymorph	16	meV per atom

***

Record 2
TaMoIr2 | PBEsol | relaxed

Cell lengths 3.874, 3.939, 3.939 Å; angles 90.00, 90.00, 90.00 degrees
Sites, in units of the cell vectors:
Mo1 0.500 0.500 0.500
Ir1 0.000 0.000 0.500
Ir2 0.000 0.500 0.000
Ta1 0.500 0.000 0.000

Output
calculated total energy	-11.465	eV/atom
SG	P4/mmm (123)
size of the total moment	0.00	μB per formula unit
energy of formation	-0.47	eV/atom
calculated volume	60	Å³/cell
E above lowest polymorph	0	meV per atom

***

Record 3
TaMoIr2 | PBEsol | relaxed

Cell lengths 2.798, 4.795, 4.806 Å; angles 98.63, 90.00, 106.96 degrees
Sites, in units of the cell vectors:
Ir1 0.996 0.993 0.018
Ir2 0.252 0.503 0.724
Ta1 0.743 0.486 0.224
Mo1 0.509 0.019 0.534

Output
calculated total energy	-11.333	eV/atom
SG	Cm (8)
size of the total moment	0.00	μB per formula unit
energy of formation	-0.34	eV/atom
calculated volume	61	Å³/cell
E above lowest polymorph	132	meV per atom

***

Record 4
TaMoIr | PBEsol | relaxed

Cell lengths 3.229, 3.229, 5.084 Å; angles 108.52, 108.52, 90.00 degrees
Sites, in units of the cell vectors:
Ir1 0.997 0.997 0.994
Ta1 0.333 0.333 0.667
Mo1 0.670 0.670 0.339

Output
calculated total energy	-11.457	eV/atom
SG	I4mm (107)
size of the total moment	0.00	μB per formula unit
energy of formation	-0.08	eV/atom
calculated volume	47	Å³/cell

***

Record 5
Ta2MoIr | PBEsol | relaxed

Cell lengths 2.796, 2.796, 8.514 Å; angles 90.00, 90.00, 104.83 degrees
Sites, in units of the cell vectors:
Mo1 0.500 0.500 0.000
Ta1 0.000 0.000 0.259
Ta2 0.000 0.000 0.741
Ir1 0.500 0.500 0.500

Output
calculated total energy	-11.890	eV/atom
SG	Cmmm (65)
size of the total moment	0.00	μB per formula unit
energy of formation	-0.22	eV/atom
calculated volume	64	Å³/cell

***

Record 6
TaMoIr2 | PBEsol | relaxed

Cell lengths 2.784, 4.494, 4.817 Å; angles 90.00, 90.00, 90.00 degrees
Sites, in units of the cell vectors:
Ta1 0.500 0.500 0.195
Mo1 0.500 0.000 0.557
Ir1 0.000 0.500 0.693
Ir2 0.000 0.000 0.055

Output
calculated total energy	-11.426	eV/atom
SG	Pmm2 (25)
size of the total moment	0.00	μB per formula unit
energy of formation	-0.43	eV/atom
calculated volume	60	Å³/cell
E above lowest polymorph	40	meV per atom

***

Record 7
TaMoIr2 | PBEsol | relaxed

Cell lengths 3.939, 3.939, 4.773 Å; angles 114.37, 114.37, 90.00 degrees
Sites, in units of the cell vectors:
Ir1 0.750 0.250 0.500
Ir2 0.250 0.750 0.500
Mo1 0.500 0.500 0.000
Ta1 0.000 0.000 0.000

Output
calculated total energy	-11.455	eV/atom
SG	I4/mmm (139)
size of the total moment	0.00	μB per formula unit
energy of formation	-0.46	eV/atom
calculated volume	60	Å³/cell
E above lowest polymorph	11	meV per atom

***

Record 8
TaMoIr2 | PBEsol | relaxed

Cell lengths 3.352, 3.352, 5.498 Å; angles 90.00, 90.00, 90.00 degrees
Sites, in units of the cell vectors:
Ir1 0.000 0.000 0.246
Ir2 0.000 0.000 0.754
Ta1 0.500 0.500 0.500
Mo1 0.500 0.500 0.000

Output
calculated total energy	-11.166	eV/atom
SG	P4/mmm (123)
size of the total moment	0.00	μB per formula unit
energy of formation	-0.17	eV/atom
calculated volume	62	Å³/cell
E above lowest polymorph	300	meV per atom

***

Record 9
Ta2MoIr | PBEsol | relaxed

Cell lengths 4.488, 4.488, 4.488 Å; angles 60.00, 60.00, 60.00 degrees
Sites, in units of the cell vectors:
Ir1 0.000 0.000 0.000
Mo1 0.500 0.500 0.500
Ta1 0.750 0.750 0.750
Ta2 0.250 0.250 0.250

Output
calculated total energy	-12.055	eV/atom
SG	Fm-3m (225)
size of the total moment	0.00	μB per formula unit
energy of formation	-0.38	eV/atom
calculated volume	64	Å³/cell

***

Record 10
Ta2MoIr | PBEsol | relaxed

Cell lengths 3.212, 3.212, 6.234 Å; angles 90.00, 90.00, 90.00 degrees
Sites, in units of the cell vectors:
Ta1 0.000 0.000 0.253
Ta2 0.000 0.000 0.747
Mo1 0.500 0.500 0.500
Ir1 0.500 0.500 0.000

Output
calculated total energy	-12.044	eV/atom
SG	P4/mmm (123)
size of the total moment	0.00	μB per formula unit
energy of formation	-0.37	eV/atom
calculated volume	64	Å³/cell

***

Record 11
TaMoIr2 | PBEsol | relaxed

Cell lengths 2.790, 3.876, 5.563 Å; angles 90.00, 90.00, 90.00 degrees
Sites, in units of the cell vectors:
Ir1 0.000 0.000 0.756
Ir2 0.000 0.000 0.244
Ta1 0.500 0.500 0.500
Mo1 0.500 0.500 0.000

Output
calculated total energy	-11.451	eV/atom
SG	Pmmm (47)
size of the total moment	0.00	μB per formula unit
energy of formation	-0.46	eV/atom
calculated volume	60	Å³/cell
E above lowest polymorph	15	meV per atom

***

Record 12
TcMoIr2 | PBEsol | relaxed

Cell lengths 3.832, 3.832, 3.872 Å; angles 90.00, 90.00, 90.00 degrees
Sites, in units of the cell vectors:
Ir1 0.500 0.000 0.000
Ir2 0.000 0.500 0.000
Tc1 0.000 0.000 0.500
Mo1 0.500 0.500 0.500

Output
calculated total energy	-10.951	eV/atom
SG	P4/mmm (123)
size of the total moment	0.00	μB per formula unit
energy of formation	-0.28	eV/atom
calculated volume	57	Å³/cell
E above lowest polymorph	73	meV per atom

***

Record 13
TcMoIr2 | PBEsol | relaxed

Cell lengths 2.712, 4.726, 4.726 Å; angles 110.10, 90.00, 90.00 degrees
Sites, in units of the cell vectors:
Tc1 0.500 0.000 0.000
Mo1 0.500 0.500 0.500
Ir1 0.000 0.000 0.500
Ir2 0.000 0.500 0.000

Output
calculated total energy	-10.926	eV/atom
SG	Cmmm (65)
size of the total moment	0.00	μB per formula unit
energy of formation	-0.26	eV/atom
calculated volume	57	Å³/cell
E above lowest polymorph	98	meV per atom

***

Record 14
TcMoIr2 | PBEsol | relaxed

Cell lengths 2.723, 4.367, 4.768 Å; angles 90.00, 90.00, 90.00 degrees
Sites, in units of the cell vectors:
Ir1 0.000 0.500 0.707
Ir2 0.000 0.000 0.049
Mo1 0.500 0.000 0.539
Tc1 0.500 0.500 0.205

Output
calculated total energy	-11.024	eV/atom
SG	Pmm2 (25)
size of the total moment	0.00	μB per formula unit
energy of formation	-0.35	eV/atom
calculated volume	57	Å³/cell
E above lowest polymorph	0	meV per atom

***

Record 15
TcMoIr | PBEsol | relaxed

Cell lengths 4.158, 4.158, 4.158 Å; angles 60.00, 60.00, 60.00 degrees
Sites, in units of the cell vectors:
Tc1 0.250 0.250 0.250
Ir1 0.000 0.000 0.000
Mo1 0.500 0.500 0.500

Output
calculated total energy	-10.332	eV/atom
SG	F-43m (216)
size of the total moment	0.00	μB per formula unit
energy of formation	0.62	eV/atom
calculated volume	51	Å³/cell
E above lowest polymorph	692	meV per atom

***

Record 16
TcMoIr2 | PBEsol | relaxed

Cell lengths 2.710, 3.874, 5.421 Å; angles 90.00, 90.00, 90.00 degrees
Sites, in units of the cell vectors:
Ir1 0.000 0.000 0.254
Ir2 0.000 0.000 0.746
Tc1 0.500 0.500 0.500
Mo1 0.500 0.500 0.000

Output
calculated total energy	-10.921	eV/atom
SG	Pmmm (47)
size of the total moment	0.00	μB per formula unit
energy of formation	-0.25	eV/atom
calculated volume	57	Å³/cell
E above lowest polymorph	103	meV per atom

***

Mass density: 18263; 18265; 18029; 16450; 16771; 18223; 18259; 17776; 16889; 16783; 18258; 16893; 16882; 16937; 12612; 16876 (kg/m³)